Entry 1:
# NaInNiCl6

An optimized crystal structure of NaInNiCl6 (GGA-PBE, Alexandria).

Geometry as POSCAR:
```
NaInNiCl6
1.0
-1.563 -0.279 6.212
3.470 -4.697 -2.647
10.530 6.130 2.925
Na In Cl Ni
2 2 12 2
Cartesian
5.265 3.065 1.462
0.000 0.000 0.000
4.425 -1.692 1.037
8.012 2.845 5.453
9.807 3.445 3.740
9.579 -0.809 1.461
4.458 -1.015 5.503
2.630 -2.292 2.750
7.979 2.168 0.987
2.857 1.962 5.028
7.976 0.701 4.069
1.145 -1.091 5.578
4.460 0.452 2.421
11.505 0.486 3.829
11.291 2.244 0.911
0.932 0.667 2.661
9.690 1.373 2.499
2.747 -0.220 3.990
```

Computed properties:
V	446	Å³ per cell
crystal system	trigonal
total magnetic moment	0.23	μB per atom
formation energy from raw total energies	-1.08	eV/atom


Entry 2:
# BiPbN

An optimized crystal structure of BiPbN (GGA-PBE, Alexandria).

Geometry as POSCAR:
```
BiPbN
1.0
-5.555 3.267 7.506
-3.057 0.512 -1.671
3.040 -5.797 0.078
N Pb Bi
2 2 2
Cartesian
-1.805 -4.069 0.682
0.948 -3.363 -0.434
-0.087 -2.819 1.631
2.286 -5.125 0.288
-6.732 1.995 4.169
-2.720 -0.362 3.506
```

Computed properties:
V	159	Å³ per cell
crystal system	triclinic
total magnetic moment	0.00	μB per atom
formation energy from raw total energies	0.42	eV/atom
N(E_F)	1.46	states/eV/cell


Entry 3:
# HPtAu

An optimized crystal structure of HPtAu (GGA-PBE, Alexandria).

Geometry as POSCAR:
```
HPtAu
1.0
2.937 0.011 -0.005
1.460 2.548 -0.005
-0.009 -0.005 5.097
Pt Au H
1 1 1
Cartesian
1.287 0.749 0.350
4.203 2.447 3.055
4.220 2.457 1.037
```

Computed properties:
V	38	Å³ per cell
crystal system	monoclinic
E_tot	-12.4	eV per cell
total magnetic moment	0.00	μB per atom
N(E_F)	1.11	states/eV/cell


Entry 4:
# AlBS

An optimized crystal structure of AlBS (GGA-PBE, Alexandria).

Geometry as POSCAR:
```
AlBS
1.0
-4.507 -7.914 5.150
-0.969 -1.317 -2.871
5.257 -2.110 -0.807
Al B S
4 4 4
Cartesian
-2.219 -7.382 4.134
1.685 -3.635 -0.803
-0.459 -1.921 1.036
-0.075 -9.095 2.294
3.628 -1.485 -0.544
2.250 -1.844 -1.815
0.515 -1.088 -1.576
0.106 -0.131 0.024
-0.383 -3.933 0.031
-0.132 -7.022 3.265
-3.246 -6.626 2.232
2.731 -4.329 1.063
```

Computed properties:
V	194	Å³ per cell
crystal system	monoclinic
total magnetic moment	0.00	μB per atom
formation energy from raw total energies	-0.36	eV/atom
N(E_F)	0.01	states/eV/cell


Entry 5:
# SrIn3Te

An optimized crystal structure of SrIn3Te (GGA-PBE, Alexandria).

Geometry as POSCAR:
```
SrIn3Te
1.0
-5.160 1.269 -2.671
-1.044 -5.808 -0.743
-2.767 -0.176 5.262
Sr In Te
1 3 1
Cartesian
-4.485 -2.357 0.924
-2.580 0.635 -1.335
-1.383 -0.088 2.631
-0.522 -2.904 -0.372
0.000 0.000 0.000
```

Computed properties:
V	210	Å³ per cell
crystal system	cubic
total magnetic moment	0.00	μB per atom
formation energy from raw total energies	0.17	eV/atom
N(E_F)	3.83	states/eV/cell


- What is the V in the second record?
  159 Å³ per cell


- Number 3 is which compound?
  HPtAu


What did the second record say?
# BiPbN

An optimized crystal structure of BiPbN (GGA-PBE, Alexandria).

Geometry as POSCAR:
```
BiPbN
1.0
-5.555 3.267 7.506
-3.057 0.512 -1.671
3.040 -5.797 0.078
N Pb Bi
2 2 2
Cartesian
-1.805 -4.069 0.682
0.948 -3.363 -0.434
-0.087 -2.819 1.631
2.286 -5.125 0.288
-6.732 1.995 4.169
-2.720 -0.362 3.506
```

Computed properties:
V	159	Å³ per cell
crystal system	triclinic
total magnetic moment	0.00	μB per atom
formation energy from raw total energies	0.42	eV/atom
N(E_F)	1.46	states/eV/cell